Below is crystalline SrCoOF2 at its relaxed geometry, with properties calculated at the GGA+U level.

extended XYZ file:
```
5
Lattice="4.1547 0.0000 0.0000 0.0000 4.1547 0.0000 0.0000 0.0000 3.8604" Properties=species:S:1:pos:R:3 pbc="T T T"
Sr 2.0773 2.0773 1.9302
Co 0.0000 0.0000 0.0000
O 0.0000 0.0000 1.9302
F 0.0000 2.0773 0.0000
F 2.0773 0.0000 0.0000
```

- VASP energy: -5.483 eV/atom
- Crystal system: tetragonal
- E above lowest polymorph: 0 meV per atom
- Spin magnetization: 3.00 μB per formula unit